Below is a geometry-optimized NaAlWSe2 structure, with properties calculated at the PBEsol level.

a b c (Å): 4.899 5.005 5.005
angles (deg): 90.00 90.00 90.00
Atoms (fractional coordinates):
Se (0.000, 0.000, 0.500)
W (0.500, 0.000, 0.000)
Al (0.000, 0.000, 0.000)
Se (0.000, 0.500, 0.000)
Na (0.500, 0.500, 0.500)

**D(E_F)**: 0.56 states/eV/atom
**Space-group type**: No. 123
**Formation energy from raw total energies**: 0.8755 eV per atom